Record 1
Computed, not measured: a relaxed structure of Cs2ReBr5F at the PBE level of DFT.

a b c (Å): 7.740 7.740 7.740
angles (deg): 90.17 119.90 119.90
Last column: magnetic moment on the atom in μB.
Sites, in units of the cell vectors:
1 Cs 0.500 0.244 0.744  0.00
2 Cs 0.500 0.744 0.244  0.00
3 Re 0.000 0.997 0.997  2.27
4 Br 0.464 0.225 0.225  0.04
5 Br 0.536 0.761 0.761  0.04
6 Br 0.000 0.761 0.225  0.04
7 Br 0.000 0.225 0.761  0.04
8 Br 0.000 0.229 0.229  0.05
9 F 0.000 0.816 0.816  0.10

Calculated values
M_tot: 3.0 μB per cell
Final energy: -35.825 eV for the cell shown

Record 2
Computed, not measured: a relaxed structure of Pm2SmBi at the PBE level of DFT.

a b c (Å): 4.968 4.961 4.961
angles (deg): 90.00 90.00 90.00
Sites, in units of the cell vectors:
1 Bi 0.500 0.500 0.500
2 Sm 0.500 0.000 0.000
3 Pm 0.000 0.000 0.500
4 Pm 0.000 0.500 0.000

Calculated values
M_tot: 0.0 μB per cell
Energy of formation: -417 meV/atom
Final energy: -19.769 eV for the cell shown
E above lowest polymorph: 0.023 eV/atom

Record 3
Computed, not measured: a relaxed structure of LiZr3Sc at the PBE level of DFT.

a b c (Å): 4.847 4.847 4.847
angles (deg): 90.00 90.00 90.00
Sites, in units of the cell vectors:
1 Sc 0.500 0.500 0.500
2 Zr 0.000 0.500 0.000
3 Zr 0.000 0.000 0.500
4 Zr 0.500 0.000 0.000
5 Li 0.000 0.000 0.000

Calculated values
M_tot: 0.0 μB per cell
Energy of formation: 664 meV/atom
Final energy: -30.570 eV for the cell shown
E above lowest polymorph: 0.000 eV/atom

Record 4
Computed, not measured: a relaxed structure of CsRbHg3 at the PBE level of DFT.

a b c (Å): 5.398 5.030 16.538
angles (deg): 98.75 90.00 90.00
Sites, in units of the cell vectors:
1 Cs 0.250 0.796 0.593
2 Cs 0.750 0.204 0.407
3 Rb 0.250 0.068 0.136
4 Rb 0.750 0.932 0.864
5 Hg 0.250 0.383 0.767
6 Hg 0.750 0.617 0.233
7 Hg 0.250 0.477 0.953
8 Hg 0.750 0.523 0.047
9 Hg 0.750 0.333 0.667
10 Hg 0.250 0.667 0.333

Calculated values
M_tot: 0.0 μB per cell
Energy of formation: -249 meV/atom
Final energy: -7.944 eV for the cell shown
E above lowest polymorph: 0.000 eV/atom

Record 5
Computed, not measured: a relaxed structure of Ac8CoRh5 at the PBE level of DFT.

a b c (Å): 8.052 8.052 8.052
angles (deg): 109.64 109.13 109.64
Sites, in units of the cell vectors:
1 Ac 0.127 0.747 0.985
2 Ac 0.015 0.143 0.763
3 Ac 0.737 0.249 0.374
4 Ac 0.626 0.363 0.875
5 Ac 0.512 0.637 0.263
6 Ac 0.620 0.857 0.873
7 Ac 0.237 0.253 0.380
8 Ac 0.125 0.751 0.488
9 Co 0.250 0.500 0.750
10 Rh 0.000 0.376 0.125
11 Rh 0.875 0.874 0.250
12 Rh 0.750 0.624 0.624
13 Rh 0.500 0.000 0.500
14 Rh 0.376 0.126 0.000

Calculated values
M_tot: 0.0 μB per cell
Energy of formation: -513 meV/atom
Final energy: -83.910 eV for the cell shown

Record 6
Computed, not measured: a relaxed structure of Ca2VPb at the PBE level of DFT.

a b c (Å): 8.585 8.585 6.860
angles (deg): 51.26 51.26 90.00
Last column: magnetic moment on the atom in μB.
Sites, in units of the cell vectors:
1 Pb 0.000 0.000 0.000  -0.10
2 Pb 0.750 0.250 0.500  -0.10
3 Ca 0.613 0.125 0.250  0.05
4 Ca 0.137 0.625 0.250  0.05
5 Ca 0.375 0.387 0.750  0.05
6 Ca 0.875 0.863 0.750  0.05
7 V 0.500 0.500 0.000  2.92
8 V 0.250 0.750 0.500  2.92

Calculated values
M_tot: 7.4 μB per cell
Energy of formation: 474 meV/atom
Final energy: -29.866 eV for the cell shown

Record 7
Computed, not measured: a relaxed structure of NaZr at the PBE level of DFT.

a b c (Å): 11.774 3.270 5.651
angles (deg): 90.00 90.51 90.00
Sites, in units of the cell vectors:
1 Na 0.140 0.000 0.325
2 Na 0.860 0.000 0.675
3 Na 0.140 0.500 0.825
4 Na 0.860 0.500 0.175
5 Zr 0.603 0.000 0.334
6 Zr 0.397 0.000 0.666
7 Zr 0.603 0.500 0.834
8 Zr 0.397 0.500 0.166

Calculated values
M_tot: 0.0 μB per cell
Energy of formation: 226 meV/atom
Final energy: -37.659 eV for the cell shown
E above lowest polymorph: 0.044 eV/atom

Record 8
Computed, not measured: a relaxed structure of Pm2EuOs at the PBE level of DFT.

a b c (Å): 5.234 5.234 5.234
angles (deg): 60.00 60.00 60.00
Last column: magnetic moment on the atom in μB.
Sites, in units of the cell vectors:
1 Eu 0.000 0.000 0.000  6.88
2 Os 0.500 0.500 0.500  -0.11
3 Pm 0.250 0.250 0.250  0.09
4 Pm 0.750 0.750 0.750  0.09

Calculated values
M_tot: 7.3 μB per cell
Energy of formation: 223 meV/atom
Final energy: -30.114 eV for the cell shown
E above lowest polymorph: 0.228 eV/atom

Record 9
Computed, not measured: a relaxed structure of Dy4CdHg7 at the PBE level of DFT.

a b c (Å): 5.364 9.671 6.992
angles (deg): 79.04 67.45 73.90
Sites, in units of the cell vectors:
1 Dy 0.580 0.223 0.616
2 Dy 0.420 0.777 0.384
3 Dy 0.736 0.681 0.846
4 Dy 0.264 0.319 0.154
5 Cd 0.000 0.000 0.000
6 Hg 0.803 0.917 0.478
7 Hg 0.197 0.083 0.522
8 Hg 0.074 0.655 0.198
9 Hg 0.926 0.345 0.802
10 Hg 0.360 0.536 0.743
11 Hg 0.500 0.000 0.000
12 Hg 0.640 0.464 0.257

Calculated values
M_tot: 0.0 μB per cell
Energy of formation: -266 meV/atom
Final energy: -24.627 eV for the cell shown